# 1
Tl3Sb8O24 | GGA-PBE | relaxed

a b c (Å): 7.384 7.384 12.723
angles (deg): 73.13 73.13 60.01
Space group P1 (No. 1)
One atom of each set of equivalent atoms:
Tl  0.000  0.000  0.000
Tl  0.227  0.708  0.837
Tl  0.671  0.220  0.433
Sb  0.220  0.302  0.749
Sb  0.224  0.302  0.250
Sb  0.226  0.802  0.250
Sb  0.473  0.056  0.998
Sb  0.721  0.810  0.748
Sb  0.723  0.802  0.250
Sb  0.728  0.302  0.749
Sb  0.974  0.551  0.500
O  0.007  0.193  0.791
O  0.009  0.593  0.785
O  0.111  0.091  0.284
O  0.126  0.721  0.409
O  0.136  0.315  0.412
O  0.210  0.396  0.587
O  0.226  0.206  0.915
O  0.307  0.894  0.085
O  0.312  0.290  0.086
O  0.331  0.517  0.213
O  0.422  0.420  0.736
O  0.433  0.018  0.714
O  0.512  0.691  0.284
O  0.513  0.091  0.284
O  0.612  0.593  0.785
O  0.633  0.824  0.910
O  0.653  0.206  0.915
O  0.713  0.894  0.085
O  0.744  0.722  0.409
O  0.805  0.396  0.587
O  0.811  0.790  0.587
O  0.834  0.018  0.714
O  0.938  0.517  0.213
O  0.942  0.917  0.198

Computed properties:
**Crystal system**: triclinic

# 2
TlSbO3 | GGA-PBE | relaxed

a b c (Å): 4.067 4.067 4.067
angles (deg): 90.00 90.00 90.00
Space group Pm-3m (No. 221)
One atom of each set of equivalent atoms:
Tl  0.000  0.000  0.000
Sb  0.500  0.500  0.500
O  0.000  0.500  0.500

Computed properties:
**Crystal system**: cubic

# 3
TlSbO | GGA-PBE | relaxed

a b c (Å): 4.109 14.546 5.019
angles (deg): 90.00 90.00 90.00
Space group Cmcm (No. 63)
One atom of each set of equivalent atoms:
Tl  0.000  0.218  0.250
Sb  0.000  0.065  0.750
O  0.000  0.392  0.250

Computed properties:
**Crystal system**: orthorhombic

# 4
TlSb2O6 | GGA-PBE | relaxed

a b c (Å): 7.353 7.380 10.577
angles (deg): 90.00 90.00 90.00
Space group Imma (No. 74)
One atom of each set of equivalent atoms:
Tl  0.250  0.250  0.250
Sb  0.000  0.000  0.000
Sb  0.250  0.250  0.750
O  0.000  0.250  0.072
O  0.000  0.250  0.683
O  0.197  0.043  0.872

Computed properties:
**Crystal system**: orthorhombic

# 5
TlSbO3 | GGA-PBE | relaxed

a b c (Å): 6.020 6.193 7.108
angles (deg): 92.34 113.08 116.47
Space group P-1 (No. 2)
One atom of each set of equivalent atoms:
Tl  0.189  0.074  0.323
Sb  0.292  0.614  0.917
O  0.298  0.904  0.760
O  0.353  0.332  0.076
O  0.455  0.853  0.208

Computed properties:
**Crystal system**: triclinic

# 6
TlSbO3 | GGA-PBE | relaxed

a b c (Å): 5.4054 5.4054 15.6357
angles (deg): 90.00 90.00 120.00
Space group P-31c (No. 163)
One atom of each set of equivalent atoms:
Tl  0.3333  0.6667  0.0803
Sb  0.0000  0.0000  0.2500
Sb  0.3333  0.6667  0.7500
O  0.0495  0.3333  0.6777

Computed properties:
**Crystal system**: trigonal

# 7
TlSbO4 | GGA-PBE | relaxed

a b c (Å): 4.982 5.768 11.240
angles (deg): 90.00 90.00 90.00
Space group Pbcn (No. 60)
One atom of each set of equivalent atoms:
Tl  0.000  0.000  0.000
Sb  0.000  0.327  0.250
O  0.164  0.305  0.089
O  0.244  0.068  0.316

Computed properties:
**Crystal system**: orthorhombic

# 8
Tl12Sb3O5 | GGA-PBE | relaxed

a b c (Å): 16.403 16.403 16.403
angles (deg): 90.00 90.00 90.00
Space group Ia-3d (No. 230)
One atom of each set of equivalent atoms:
Tl  0.033  0.055  0.649
Sb  0.000  0.250  0.125
O  0.000  0.000  0.000
O  0.000  0.250  0.375

Computed properties:
**Crystal system**: cubic

# 9
Tl6SbO12 | GGA-PBE | relaxed

a b c (Å): 9.9198 9.9198 9.5513
angles (deg): 90.00 90.00 120.00
Space group R-3 (No. 148, hexagonal axes)
One atom of each set of equivalent atoms:
Tl  0.0453  0.2586  0.1515
Sb  0.0000  0.0000  0.5000
O  0.0245  0.2236  0.8991
O  0.0368  0.1884  0.3880

Computed properties:
**Crystal system**: trigonal

# 10
Tl3SbO4 | GGA-PBE | relaxed

a b c (Å): 6.278 8.566 6.964
angles (deg): 90.00 90.00 90.00
Space group Imm2 (No. 44)
One atom of each set of equivalent atoms:
Tl  0.000  0.000  0.000
Tl  0.000  0.236  0.558
Sb  0.000  0.500  0.052
O  0.000  0.313  0.904
O  0.239  0.000  0.697

Computed properties:
**Crystal system**: orthorhombic

# 11
TmTl3Sb2O9 | GGA-PBE | relaxed

a b c (Å): 5.8410 5.8410 7.2189
angles (deg): 90.00 90.00 120.00
Space group P-3m1 (No. 164)
One atom of each set of equivalent atoms:
Tm  0.0000  0.0000  0.0000
Tl  0.0000  0.0000  0.5000
Tl  0.3333  0.6667  0.1576
Sb  0.3333  0.6667  0.6620
O  0.0000  0.5000  0.5000
O  0.1716  0.3432  0.8141

Computed properties:
**Crystal system**: trigonal

# 12
TmTl3Sb2O6 | GGA-PBE | relaxed

a b c (Å): 6.1399 6.1399 7.3744
angles (deg): 90.00 90.00 120.00
Space group P-3m1 (No. 164)
One atom of each set of equivalent atoms:
Tm  0.0000  0.0000  0.0000
Tl  0.0000  0.0000  0.5000
Tl  0.3333  0.6667  0.1586
Sb  0.3333  0.6667  0.6941
O  0.1716  0.3432  0.8234

Computed properties:
**Crystal system**: trigonal

# 13
UTlSbO5 | GGA-PBE | relaxed

a b c (Å): 7.608 10.038 8.095
angles (deg): 90.00 106.08 90.00
Space group C2/c (No. 15)
One atom of each set of equivalent atoms:
U  0.000  0.000  0.000
Tl  0.000  0.328  0.250
Sb  0.000  0.327  0.750
O  0.000  0.072  0.250
O  0.105  0.197  0.619
O  0.244  0.076  0.039

Computed properties:
**Crystal system**: monoclinic

# 14
U3Tl2SbO12 | GGA-PBE | relaxed

a b c (Å): 7.9154 7.9154 18.6484
angles (deg): 90.00 90.00 120.00
Space group R-3m (No. 166, hexagonal axes)
One atom of each set of equivalent atoms:
U  0.0000  0.5000  0.0000
Tl  0.0000  0.0000  0.1117
Sb  0.0000  0.0000  0.5000
O  0.0751  0.5376  0.3566
O  0.0923  0.5462  0.1057

Computed properties:
**Crystal system**: trigonal

# 15
UTlSb2O8 | GGA-PBE | relaxed

a b c (Å): 5.9826 5.9826 7.7734
angles (deg): 90.00 90.00 120.00
Space group P-3m1 (No. 164)
One atom of each set of equivalent atoms:
U  0.0000  0.0000  0.0000
Tl  0.0000  0.0000  0.5000
Sb  0.3333  0.6667  0.7308
O  0.1650  0.3300  0.8347
O  0.3333  0.6667  0.4923

Computed properties:
**Crystal system**: trigonal

no.,E (eV/cell)
1,-197.04
2,-26.42
3,-50.60
4,-202.06
5,-50.01
6,-111.39
7,-131.46
8,-564.16
9,-275.92
10,-77.41
11,-85.22
12,-68.36
13,-235.88
14,-437.48
15,-81.45